# LiCu3F (PBE, optimized geometry)
data_LiCu3F
_cell_length_a 4.175
_cell_length_b 4.175
_cell_length_c 4.175
_cell_angle_alpha 90.00
_cell_angle_beta 90.00
_cell_angle_gamma 90.00
_symmetry_space_group_name_H-M 'P 1'
_symmetry_Int_Tables_number 1
loop_
_symmetry_equiv_pos_as_xyz
'x,y,z'
loop_
_atom_site_label
_atom_site_type_symbol
_atom_site_fract_x
_atom_site_fract_y
_atom_site_fract_z
_atom_site_occupancy
Li1 Li 0.000 0.000 0.000 1
Cu1 Cu 0.000 0.000 0.500 1
Cu2 Cu 0.000 0.500 0.000 1
Cu3 Cu 0.500 0.000 0.000 1
F1 F 0.500 0.500 0.500 1
# - Energy: -2.670 eV/atom
# - Total magnetization: 0.000 μB per atom
# - E_form (uncorrected): 0.54 eV/atom
# - Distance to the lowest polymorph of the same formula: 430.7 meV/atom
# - V: 14.6 A^3/atom